A plane-wave DFT calculation with PBE was carried out for a geometry-optimized NdNpO3 structure.

Lattice parameters (Å, degrees): 4.4952 4.4952 4.4952 90.00 90.00 90.00
Fractional coordinates of all 5 atoms:
Nd1 0.0000 0.0000 0.0000
Np1 0.5000 0.5000 0.5000
O1 0.0000 0.0000 0.5000
O2 0.0000 0.5000 0.0000
O3 0.5000 0.0000 0.0000

## Properties
Calculated volume   90.8 Å³/f.u.
Formation energy from raw total energies   -2.010 eV/atom

A plane-wave DFT calculation with PBE was carried out for a geometry-optimized Nd2NpO8 structure.

Lattice parameters (Å, degrees): 3.9770 6.4001 7.1438 97.84 93.08 100.92
Fractional coordinates of all 11 atoms:
Nd1 0.0000 0.0000 0.0000
Nd2 0.4372 0.9700 0.5116
Np1 0.2525 0.4973 0.7704
O1 0.0029 0.1307 0.6885
O2 0.2221 0.5837 0.5305
O3 0.3003 0.3831 0.9956
O4 0.4466 0.8613 0.8309
O5 0.5618 0.0831 0.2078
O6 0.6273 0.3449 0.6257
O7 0.8849 0.8932 0.3134
O8 0.8884 0.6216 0.9039

## Properties
Calculated volume   176.3 Å³/f.u.
Formation energy from raw total energies   -2.283 eV/atom